1.
Below is K2U2FeSe6 after structural relaxation, with properties calculated at the PBE level.

a b c (Å): 6.9932 6.9932 8.2334
angles (deg): 98.24 98.24 119.88
Sites, in units of the cell vectors:
K (0.1681, 0.8319, 0.0000)
K (0.8319, 0.1681, 0.0000)
U (0.3338, 0.6662, 0.5000)
U (0.6662, 0.3338, 0.5000)
Fe (0.0000, 0.0000, 0.5000)
Se (0.0665, 0.3892, 0.6958)
Se (0.2522, 0.2522, 0.3064)
Se (0.3892, 0.0665, 0.6958)
Se (0.6108, 0.9335, 0.3042)
Se (0.7478, 0.7478, 0.6936)
Se (0.9335, 0.6108, 0.3042)

Properties
Formation energy without anion corrections, kJ/mol of atoms: -95.4
Symmetry: No. 12
V, A^3/atom: 30.41
Raw total energy, eV per atom: -5.91

2.
Below is K3Zr3FeSe8 after structural relaxation, with properties calculated at the PBE level.

a b c (Å): 7.6191 7.6191 9.1147
angles (deg): 114.76 114.76 59.92
Sites, in units of the cell vectors:
K (0.0000, 0.0000, 0.0000)
K (0.0000, 0.5000, 0.0000)
K (0.5000, 0.0000, 0.0000)
Zr (0.0000, 0.5000, 0.5000)
Zr (0.5000, 0.0000, 0.5000)
Zr (0.5000, 0.5000, 0.5000)
Fe (0.0000, 0.0000, 0.5000)
Se (0.2188, 0.2188, 0.6881)
Se (0.2186, 0.7506, 0.6878)
Se (0.2494, 0.7814, 0.3122)
Se (0.2657, 0.2657, 0.2968)
Se (0.7343, 0.7343, 0.7032)
Se (0.7506, 0.2186, 0.6878)
Se (0.7814, 0.2494, 0.3122)
Se (0.7812, 0.7812, 0.3119)

Properties
Formation energy without anion corrections, kJ/mol of atoms: -109.1
Symmetry: No. 12
V, A^3/atom: 26.72
Raw total energy, eV per atom: -5.48

3.
Below is K2FeSi after structural relaxation, with properties calculated at the PBE level.

a b c (Å): 11.7135 11.7135 11.7135
angles (deg): 15.44 15.44 15.44
Sites, in units of the cell vectors:
K (0.2482, 0.2482, 0.2482)
K (0.7518, 0.7518, 0.7518)
Fe (0.0000, 0.0000, 0.0000)
Si (0.5000, 0.5000, 0.5000)

Properties
Formation energy without anion corrections, kJ/mol of atoms: 102.2
Symmetry: No. 166
V, A^3/atom: 24.82
Raw total energy, eV per atom: -2.96

4.
Below is K2FeSi after structural relaxation, with properties calculated at the PBE level.

a b c (Å): 6.2519 6.2519 6.2519
angles (deg): 140.44 140.44 57.18
Sites, in units of the cell vectors:
K (0.2500, 0.7500, 0.5000)
K (0.7500, 0.2500, 0.5000)
Fe (0.0000, 0.0000, 0.0000)
Si (0.5000, 0.5000, 0.0000)

Properties
Formation energy without anion corrections, kJ/mol of atoms: 86.4
Symmetry: No. 139
V, A^3/atom: 24.57
Raw total energy, eV per atom: -3.12

Repeat the first record exactly.
Below is K2U2FeSe6 after structural relaxation, with properties calculated at the PBE level.

a b c (Å): 6.9932 6.9932 8.2334
angles (deg): 98.24 98.24 119.88
Sites, in units of the cell vectors:
K (0.1681, 0.8319, 0.0000)
K (0.8319, 0.1681, 0.0000)
U (0.3338, 0.6662, 0.5000)
U (0.6662, 0.3338, 0.5000)
Fe (0.0000, 0.0000, 0.5000)
Se (0.0665, 0.3892, 0.6958)
Se (0.2522, 0.2522, 0.3064)
Se (0.3892, 0.0665, 0.6958)
Se (0.6108, 0.9335, 0.3042)
Se (0.7478, 0.7478, 0.6936)
Se (0.9335, 0.6108, 0.3042)

Properties
Formation energy without anion corrections, kJ/mol of atoms: -95.4
Symmetry: No. 12
V, A^3/atom: 30.41
Raw total energy, eV per atom: -5.91

The highest raw total energy belongs to which entry? number 3